# 1
The following is a DFT calculation (PBE) of a relaxed PrGdTmTh crystal.

It has space group F-43m (No. 216), with a = 8.070 Å, b = 8.070 Å, c = 8.070 Å, α = 90.00°, β = 90.00° and γ = 90.00°. The distinct sites, in fractional coordinates, are Pr at (0.000, 0.000, 0.000), Gd at (0.250, 0.250, 0.250), Tm at (0.250, 0.250, 0.750) and Th at (0.000, 0.000, 0.500).

The density of states at the Fermi level comes out at 1.910 states/eV/atom. The formation energy is 0.55 eV/f.u.

***

# 2
The following is a DFT calculation (PBE) of a relaxed ZnN crystal.

It has space group P-3m1 (No. 164), with a = 3.0745 Å, b = 3.0745 Å, c = 5.8507 Å, α = 90.00°, β = 90.00° and γ = 120.00°. The distinct sites, in fractional coordinates, are Zn at (0.3333, 0.6667, 0.3270) and N at (0.0000, 0.0000, 0.1057).

The energy relative to the lowest polymorph listed for this composition comes out at 0.098 eV/atom. The density of states at the Fermi level comes out at 0.267 states/eV/atom. The raw formation energy is 325 meV per atom.

***

# 3
The following is a DFT calculation (PBE) of a relaxed Hf2Sc2Tl3 crystal.

It has space group I4/mmm (No. 139), with a = 3.413 Å, b = 3.413 Å, c = 27.811 Å, α = 90.00°, β = 90.00° and γ = 90.00°. The distinct sites, in fractional coordinates, are Hf at (0.000, 0.000, 0.216), Sc at (0.000, 0.000, 0.072), Tl at (0.000, 0.000, 0.358) and Tl at (0.000, 0.000, 0.500).

The density of states at the Fermi level comes out at 0.607 states/eV/atom. The formation energy is -0.99 eV/f.u.

***

# 4
The following is a DFT calculation (PBE) of a relaxed DySc2AlS6 crystal.

It has space group R3 (No. 146, hexagonal axes), with a = 6.4953 Å, b = 6.4953 Å, c = 17.5495 Å, α = 90.00°, β = 90.00° and γ = 120.00°. The distinct sites, in fractional coordinates, are Dy at (0.0000, 0.0000, 0.0000), Sc at (0.0000, 0.0000, 0.2973), Sc at (0.0000, 0.0000, 0.8022), Al at (0.0000, 0.0000, 0.4924), S at (0.0170, 0.7178, 0.4010) and S at (0.0194, 0.3381, 0.5608).

The density of states at the Fermi level comes out at 0.000 states/eV/atom. The raw formation energy is -1668 meV per atom.

***

# 5
The following is a DFT calculation (PBE) of a relaxed CdIn2Hg2 crystal.

It has space group I4/mmm (No. 139), with a = 4.299 Å, b = 4.299 Å, c = 15.164 Å, α = 90.00°, β = 90.00° and γ = 90.00°. The distinct sites, in fractional coordinates, are Cd at (0.000, 0.000, 0.000), In at (0.000, 0.000, 0.401) and Hg at (0.000, 0.500, 0.250).

The energy relative to the lowest polymorph listed for this composition comes out at 0.090 eV/atom. The density of states at the Fermi level comes out at 0.411 states/eV/atom. The formation energy is 0.53 eV/f.u.

***

# 6
The following is a DFT calculation (PBE) of a relaxed NaInTe2 crystal.

It has space group C2/c (No. 15), with a = 13.677 Å, b = 11.043 Å, c = 15.843 Å, α = 90.00°, β = 104.73° and γ = 90.00°. The distinct sites, in fractional coordinates, are Na at (0.052, 0.148, 0.112), Na at (0.210, 0.134, 0.879), In at (0.080, 0.222, 0.640), In at (0.150, 0.499, 0.842), Te at (0.000, 0.064, 0.750), Te at (0.000, 0.338, 0.250), Te at (0.088, 0.346, 0.964), Te at (0.166, 0.071, 0.535) and Te at (0.239, 0.368, 0.729).

The density of states at the Fermi level comes out at 0.000 states/eV/atom. The raw formation energy is -566 meV per atom.

***

# 7
The following is a DFT calculation (PBE) of a relaxed ScGeRuAu2 crystal.

It has space group P4/mmm (No. 123), with a = 5.118 Å, b = 5.118 Å, c = 4.533 Å, α = 90.00°, β = 90.00° and γ = 90.00°. The distinct sites, in fractional coordinates, are Sc at (0.000, 0.000, 0.000), Ge at (0.500, 0.500, 0.500), Ru at (0.000, 0.000, 0.500) and Au at (0.000, 0.500, 0.000).

The density of states at the Fermi level comes out at 1.159 states/eV/atom. The formation energy is 4.43 eV/f.u.

***

# 8
The following is a DFT calculation (PBE) of a relaxed Rb2POs crystal.

It has space group I-42d (No. 122), with a = 13.047 Å, b = 13.047 Å, c = 4.447 Å, α = 90.00°, β = 90.00° and γ = 90.00°. The distinct sites, in fractional coordinates, are Rb at (0.019, 0.750, 0.125), P at (0.000, 0.000, 0.500) and Os at (0.000, 0.000, 0.000).

The density of states at the Fermi level comes out at 0.691 states/eV/atom. The formation energy is 1.48 eV/f.u.

***

# 9
The following is a DFT calculation (PBE) of a relaxed Ti4GaPd crystal.

It has space group Cmc2_1 (No. 36), with a = 4.612 Å, b = 17.959 Å, c = 5.355 Å, α = 90.00°, β = 90.00° and γ = 90.00°. The distinct sites, in fractional coordinates, are Ti at (0.000, 0.070, 0.000), Ti at (0.000, 0.208, 0.250), Ti at (0.000, 0.208, 0.766), Ti at (0.000, 0.365, 0.011), Ga at (0.000, 0.343, 0.509) and Pd at (0.000, 0.071, 0.500).

The energy relative to the lowest polymorph listed for this composition comes out at 0.111 eV/atom. The density of states at the Fermi level comes out at 1.059 states/eV/atom. The formation energy is -0.63 eV/f.u.

***

# 10
The following is a DFT calculation (PBE) of a relaxed Tl2InBiI6 crystal.

It has space group P1 (No. 1), with a = 8.596 Å, b = 8.601 Å, c = 9.015 Å, α = 61.55°, β = 61.54° and γ = 60.05°. The distinct sites, in fractional coordinates, are Tl at (0.000, 0.000, 0.000), Tl at (0.494, 0.493, 0.518), In at (0.299, 0.297, 0.106), Bi at (0.803, 0.802, 0.594), I at (0.049, 0.671, 0.825), I at (0.154, 0.582, 0.340), I at (0.455, 0.048, 0.825), I at (0.582, 0.924, 0.340), I at (0.672, 0.455, 0.825) and I at (0.925, 0.153, 0.340).

The raw formation energy is -535 meV per atom.

***

# 11
The following is a DFT calculation (PBE) of a relaxed KHgOs2 crystal.

It has space group Pm (No. 6), with a = 2.772 Å, b = 3.848 Å, c = 8.353 Å, α = 90.00°, β = 90.14° and γ = 90.00°. The distinct sites, in fractional coordinates, are K at (0.000, 0.000, 0.000), Hg at (0.498, 0.500, 0.680), Os at (0.497, 0.500, 0.315) and Os at (0.997, 0.000, 0.429).

The density of states at the Fermi level comes out at 0.803 states/eV/atom. The formation energy is 2.29 eV/f.u.

***

# 12
The following is a DFT calculation (PBE) of a relaxed PrTm3 crystal.

It has space group I4/mmm (No. 139), with a = 5.032 Å, b = 5.032 Å, c = 9.961 Å, α = 90.00°, β = 90.00° and γ = 90.00°. The distinct sites, in fractional coordinates, are Pr at (0.000, 0.000, 0.000), Tm at (0.000, 0.000, 0.500) and Tm at (0.000, 0.500, 0.250).

The energy relative to the lowest polymorph listed for this composition comes out at 0.018 eV/atom. The density of states at the Fermi level comes out at 1.528 states/eV/atom. The formation energy is 0.12 eV/f.u.

***

# 13
The following is a DFT calculation (PBE) of a relaxed SrAl6Ni3 crystal.

It has space group P2_1/c (No. 14), with a = 6.772 Å, b = 6.428 Å, c = 8.377 Å, α = 90.00°, β = 117.81° and γ = 90.00°. The distinct sites, in fractional coordinates, are Sr at (0.000, 0.000, 0.000), Al at (0.136, 0.018, 0.681), Al at (0.307, 0.670, 0.893), Al at (0.452, 0.190, 0.257), Ni at (0.241, 0.175, 0.433) and Ni at (0.500, 0.000, 0.000).

The density of states at the Fermi level comes out at 0.334 states/eV/atom. The formation energy is -3.58 eV/f.u.

***

# 14
The following is a DFT calculation (PBE) of a relaxed DyAlTe crystal.

It has space group R-3m (No. 166, hexagonal axes), with a = 4.4129 Å, b = 4.4129 Å, c = 32.9980 Å, α = 90.00°, β = 90.00° and γ = 120.00°. The distinct sites, in fractional coordinates, are Dy at (0.0000, 0.0000, 0.0651), Al at (0.0000, 0.0000, 0.3349) and Te at (0.0000, 0.0000, 0.2206).

The density of states at the Fermi level comes out at 0.445 states/eV/atom. The raw formation energy is -716 meV per atom.

***

# 15
The following is a DFT calculation (PBE) of a relaxed La4NdY3 crystal.

It has space group Pmn2_1 (No. 31), with a = 11.809 Å, b = 7.408 Å, c = 6.440 Å, α = 90.00°, β = 90.00° and γ = 90.00°. The distinct sites, in fractional coordinates, are La at (0.000, 0.127, 0.000), La at (0.000, 0.872, 0.515), La at (0.245, 0.123, 0.331), Nd at (0.000, 0.627, 0.002), Y at (0.000, 0.379, 0.501) and Y at (0.250, 0.379, 0.834).

The energy relative to the lowest polymorph listed for this composition comes out at 0.006 eV/atom. The density of states at the Fermi level comes out at 1.727 states/eV/atom. The formation energy is 0.22 eV/f.u.

***

# 16
The following is a DFT calculation (PBE) of a relaxed ScNiW2 crystal.

It has space group R-3m (No. 166, hexagonal axes), with a = 2.8469 Å, b = 2.8469 Å, c = 27.5624 Å, α = 90.00°, β = 90.00° and γ = 120.00°. The distinct sites, in fractional coordinates, are Sc at (0.0000, 0.0000, 0.0000), Ni at (0.0000, 0.0000, 0.5000) and W at (0.0000, 0.0000, 0.2423).

The energy relative to the lowest polymorph listed for this composition comes out at 0.317 eV/atom. The density of states at the Fermi level comes out at 0.893 states/eV/atom. The formation energy is 1.52 eV/f.u.

***

# 17
The following is a DFT calculation (PBE) of a relaxed FeHgBiW2 crystal.

It has space group P4/mmm (No. 123), with a = 5.098 Å, b = 5.098 Å, c = 5.402 Å, α = 90.00°, β = 90.00° and γ = 90.00°. The distinct sites, in fractional coordinates, are Fe at (0.000, 0.000, 0.000), Hg at (0.500, 0.500, 0.000), Bi at (0.500, 0.500, 0.500) and W at (0.000, 0.500, 0.500).

The energy relative to the lowest polymorph listed for this composition comes out at 0.015 eV/atom. The density of states at the Fermi level comes out at 1.842 states/eV/atom. The formation energy is 14.74 eV/f.u.

***

# 18
The following is a DFT calculation (PBE) of a relaxed K2NpI7 crystal.

It has space group C2/c (No. 15), with a = 18.218 Å, b = 8.803 Å, c = 14.432 Å, α = 90.00°, β = 127.66° and γ = 90.00°. The distinct sites, in fractional coordinates, are K at (0.157, 0.202, 0.085), Np at (0.000, 0.188, 0.250), I at (0.000, 0.173, 0.750), I at (0.078, 0.189, 0.503), I at (0.119, 0.448, 0.270) and I at (0.192, 0.034, 0.339).

The density of states at the Fermi level comes out at 0.965 states/eV/atom. The raw formation energy is -901 meV per atom.

***

# 19
The following is a DFT calculation (PBE) of a relaxed NbCrCo crystal.

It has space group I4mm (No. 107), with a = 3.073 Å, b = 3.073 Å, c = 8.895 Å, α = 90.00°, β = 90.00° and γ = 90.00°. The distinct sites, in fractional coordinates, are Nb at (0.000, 0.000, 0.000), Cr at (0.000, 0.000, 0.329) and Co at (0.000, 0.000, 0.671).

The energy relative to the lowest polymorph listed for this composition comes out at 0.249 eV/atom. The density of states at the Fermi level comes out at 1.182 states/eV/atom. The formation energy is 0.41 eV/f.u.

***

# 20
The following is a DFT calculation (PBE) of a relaxed Dy2BiRu crystal.

It has space group P4/mmm (No. 123), with a = 3.431 Å, b = 3.431 Å, c = 8.359 Å, α = 90.00°, β = 90.00° and γ = 90.00°. The distinct sites, in fractional coordinates, are Dy at (0.000, 0.000, 0.198), Bi at (0.500, 0.500, 0.500) and Ru at (0.500, 0.500, 0.000).

The energy relative to the lowest polymorph listed for this composition comes out at 0.000 eV/atom. The density of states at the Fermi level comes out at 0.247 states/eV/atom. The formation energy is -2.17 eV/f.u.

***

VASP energy, record by record: -7.551 -4.475 -5.809 -6.245 -1.294 -3.151 -4.470 -4.274 -6.738 -2.600 -5.392 -4.518 -4.506 -4.544 -5.456 -9.124 -4.763 -3.500 -8.796 -6.133 eV/atom